(1)
Below is crystalline LaBPt3 at its relaxed geometry, with properties calculated at the PBE-GGA level.

POSCAR file:
```
LaBPt3
1.0
4.430 0.000 0.000
0.000 4.430 0.000
0.000 0.000 4.430
La B Pt
1 1 3
direct
0.000 0.000 0.000 La
0.500 0.500 0.500 B
0.000 0.500 0.500 Pt
0.500 0.000 0.500 Pt
0.500 0.500 0.000 Pt
```

The energy relative to the lowest polymorph listed for this composition comes out at 0.192 eV/atom. The density of states at the Fermi level comes out at 0.607 states/eV per atom. The energy of formation comes out at -0.7053 eV/atom. For the total energy, the calculation gives -6.65 eV per atom. As for the space-group type: No. 221.

=====

(2)
Below is crystalline Ru2RhCl at its relaxed geometry, with properties calculated at the PBE-GGA level.

POSCAR file:
```
Ru2RhCl
1.0
2.844 0.000 0.000
0.000 4.010 0.000
-1.288 0.000 5.069
Ru Rh Cl
2 1 1
direct
0.000 0.000 0.000 Ru
0.375 0.500 0.765 Ru
0.735 0.000 0.495 Rh
0.340 0.500 0.247 Cl
```

The energy relative to the lowest polymorph listed for this composition comes out at 0.202 eV/atom. The density of states at the Fermi level comes out at 0.933 states/eV per atom. For the total energy, the calculation gives -6.39 eV per atom. As for the space-group type: No. 6. The calculation puts the energy relative to the elements, uncorrected at 0.55 eV/atom.

=====

(3)
Below is crystalline KPW2 at its relaxed geometry, with properties calculated at the PBE-GGA level.

POSCAR file:
```
KPW2
1.0
1.477 0.853 9.913
-1.477 0.853 9.913
0.000 -1.705 9.913
K P W
1 1 2
direct
0.000 0.000 0.000 K
0.500 0.500 0.500 P
0.228 0.228 0.228 W
0.772 0.772 0.772 W
```

The energy relative to the lowest polymorph listed for this composition comes out at 0.378 eV/atom. The density of states at the Fermi level comes out at 1.192 states/eV per atom. The energy of formation comes out at 0.8025 eV/atom. For the total energy, the calculation gives -7.30 eV per atom. As for the space-group type: No. 166.